Material: SiTeCl2
Method: DFT, PBE-GGA
State: optimized geometry

```
SiTeCl2
1.0
7.374 0.066 -0.012
5.051 5.372 0.012
-5.870 -3.501 2.768
Cl Te Si
2 1 1
Cartesian
2.521 2.219 1.390
0.028 0.012 0.000
3.402 -0.557 1.378
6.816 2.984 0.000
```

Properties
Calculated total energy = -3.01 eV/atom
Energy relative to the lowest polymorph listed for this composition = 379 meV per atom
Symmetry = Imm2, No. 44
Formation energy (no corrections) = 0.057 eV per atom